Record 1
TbCuTe3Pb: relaxed, PBE-GGA.

Lattice parameters (Å, degrees): 14.682 4.306 11.670 90.00 90.00 90.00
Positions (direct):
Te 0.612 0.750 0.061
Te 0.388 0.250 0.939
Tb 0.989 0.250 0.326
Te 0.856 0.750 0.241
Pb 0.784 0.250 0.047
Te 0.356 0.750 0.259
Cu 0.492 0.750 0.417
Tb 0.489 0.250 0.174
Tb 0.511 0.750 0.826
Te 0.605 0.250 0.388
Pb 0.284 0.250 0.453
Cu 0.992 0.750 0.083
Tb 0.011 0.750 0.674
Te 0.112 0.750 0.439
Te 0.395 0.750 0.612
Pb 0.716 0.750 0.547
Pb 0.216 0.750 0.953
Cu 0.508 0.250 0.583
Te 0.644 0.250 0.741
Te 0.888 0.250 0.561
Te 0.144 0.250 0.759
Te 0.105 0.250 0.112
Cu 0.008 0.250 0.917
Te 0.895 0.750 0.888

* offset from the most stable computed form: 12 meV per atom

=====

Record 2
TbCuTe3Pb: relaxed, PBE-GGA.

Lattice parameters (Å, degrees): 10.187 10.187 8.693 102.26 102.26 24.55
Positions (direct):
Pb 0.878 0.878 0.932
Te 0.678 0.678 0.346
Cu 0.546 0.546 0.705
Tb 0.841 0.841 0.417
Te 0.323 0.323 0.165
Te 0.000 0.000 0.500
Tb 0.159 0.159 0.583
Cu 0.454 0.454 0.295
Te 0.322 0.322 0.654
Te 0.677 0.677 0.835
Pb 0.122 0.122 0.068
Te 0.500 0.500 0.000

* offset from the most stable computed form: 68 meV per atom

=====

Record 3
TbCuTe3Pb: relaxed, PBE-GGA.

Lattice parameters (Å, degrees): 8.384 4.298 10.639 90.00 106.04 90.00
Positions (direct):
Te 0.754 0.750 0.539
Te 0.456 0.750 0.169
Cu 0.576 0.250 0.587
Pb 0.245 0.750 0.698
Pb 0.755 0.250 0.302
Te 0.544 0.250 0.831
Te 0.923 0.750 0.140
Te 0.077 0.250 0.860
Tb 0.803 0.750 0.833
Cu 0.424 0.750 0.413
Te 0.246 0.250 0.461
Tb 0.197 0.250 0.167

* offset from the most stable computed form: 20 meV per atom

=====

Record 4
TbCuTe3Pb: relaxed, PBE-GGA.

Lattice parameters (Å, degrees): 12.390 4.439 12.485 90.00 90.00 90.00
Positions (direct):
Cu 0.233 0.500 0.796
Te 0.535 0.500 0.634
Te 0.600 0.000 0.062
Te 0.715 0.500 0.310
Te 0.965 0.000 0.134
Te 0.285 0.000 0.690
Tb 0.469 0.500 0.190
Te 0.100 0.000 0.438
Pb 0.301 0.500 0.479
Pb 0.801 0.500 0.021
Cu 0.733 0.500 0.704
Te 0.400 0.500 0.938
Te 0.900 0.500 0.562
Tb 0.031 0.000 0.690
Te 0.215 0.500 0.190
Pb 0.699 0.000 0.521
Te 0.465 0.000 0.366
Cu 0.267 0.000 0.296
Pb 0.199 0.000 0.979
Te 0.785 0.000 0.810
Te 0.035 0.500 0.866
Tb 0.531 0.000 0.810
Tb 0.969 0.500 0.310
Cu 0.767 0.000 0.204

* offset from the most stable computed form: 36 meV per atom

=====

Record 5
TbCuTe3Pb: relaxed, PBE-GGA.

Lattice parameters (Å, degrees): 8.946 4.479 17.321 90.00 90.00 90.00
Positions (direct):
Cu 0.128 0.750 0.131
Te 0.115 0.250 0.560
Pb 0.581 0.750 0.783
Tb 0.758 0.750 0.038
Te 0.514 0.750 0.597
Pb 0.919 0.250 0.283
Te 0.885 0.750 0.440
Cu 0.872 0.250 0.869
Tb 0.258 0.750 0.462
Te 0.014 0.750 0.903
Te 0.615 0.250 0.940
Tb 0.742 0.250 0.538
Te 0.686 0.750 0.216
Te 0.314 0.250 0.784
Te 0.814 0.250 0.716
Te 0.986 0.250 0.097
Tb 0.242 0.250 0.962
Te 0.385 0.750 0.060
Te 0.186 0.750 0.284
Pb 0.419 0.250 0.217
Te 0.486 0.250 0.403
Cu 0.372 0.250 0.631
Pb 0.081 0.750 0.717
Cu 0.628 0.750 0.369

* offset from the most stable computed form: 54 meV per atom

=====

Record 6
TbCuTe3Pb: relaxed, PBE-GGA.

Lattice parameters (Å, degrees): 11.313 4.296 14.589 90.00 90.00 90.00
Positions (direct):
Te 0.454 0.250 0.113
Te 0.734 0.250 0.668
Tb 0.978 0.250 0.758
Te 0.046 0.750 0.613
Cu 0.741 0.750 0.780
Pb 0.720 0.250 0.991
Cu 0.759 0.250 0.280
Te 0.546 0.750 0.887
Te 0.766 0.750 0.168
Te 0.266 0.750 0.332
Pb 0.220 0.250 0.509
Te 0.913 0.750 0.900
Te 0.954 0.250 0.387
Pb 0.780 0.750 0.491
Te 0.587 0.250 0.400
Tb 0.522 0.750 0.258
Pb 0.280 0.750 0.009
Cu 0.259 0.250 0.220
Tb 0.478 0.250 0.742
Te 0.234 0.250 0.832
Cu 0.241 0.750 0.720
Te 0.413 0.750 0.600
Tb 0.022 0.750 0.242
Te 0.087 0.250 0.100

* offset from the most stable computed form: 0 meV per atom